[1]
! Pu2Bi2S7 | Alexandria via LeMat-Bulk | PBE | optimized geometry; values from VASP
! * uncorrected formation energy: -834 meV per atom
&SYSTEM
  ibrav = 0, nat = 11, ntyp = 3
/
ATOMIC_SPECIES
Pu 244.00 Pu.upf
Bi 208.98 Bi.upf
S 32.06 S.upf
CELL_PARAMETERS angstrom
-1.9763 7.0689 4.3903
1.9763 -7.0689 4.3903
1.9763 7.0689 -4.3903
ATOMIC_POSITIONS crystal
Pu 0.2413 0.0000 0.2413
Pu 0.7587 0.0000 0.7587
Bi 0.2565 0.2565 0.0000
Bi 0.7257 0.2257 0.5000
S 0.0501 0.6953 0.3548
S 0.3406 0.6953 0.6452
S 0.3958 0.5164 0.8794
S 0.6142 0.3022 0.3120
S 0.6370 0.5164 0.1206
S 0.9325 0.9325 0.0000
S 0.9902 0.3022 0.6880



[2]
! Nd2ThGe3 | Alexandria via LeMat-Bulk | PBE | optimized geometry; values from VASP
! * formation energy: -698 meV per atom
&SYSTEM
  ibrav = 0, nat = 6, ntyp = 3
/
ATOMIC_SPECIES
Nd 144.24 Nd.upf
Th 232.04 Th.upf
Ge 72.64 Ge.upf
CELL_PARAMETERS angstrom
-2.1490 3.0439 6.4407
2.1490 -3.0439 6.4407
2.1490 3.0439 -6.4407
ATOMIC_POSITIONS crystal
Nd 0.1675 0.1675 0.0000
Nd 0.8325 0.8325 0.0000
Th 0.5000 0.5000 0.0000
Ge 0.0000 0.5000 0.5000
Ge 0.3354 0.8354 0.5000
Ge 0.6646 0.1646 0.5000



[3]
! CaPrNiIr | Alexandria via LeMat-Bulk | PBE | optimized geometry; values from VASP
! * formation energy: -275 meV per atom
&SYSTEM
  ibrav = 0, nat = 4, ntyp = 4
/
ATOMIC_SPECIES
Ca 40.08 Ca.upf
Pr 140.91 Pr.upf
Ni 58.69 Ni.upf
Ir 192.22 Ir.upf
CELL_PARAMETERS angstrom
0.0000 3.4873 3.4873
3.4873 0.0000 3.4873
3.4873 3.4873 0.0000
ATOMIC_POSITIONS crystal
Ca 0.0000 0.0000 0.0000
Pr 0.5000 0.5000 0.5000
Ni 0.2500 0.2500 0.2500
Ir 0.7500 0.7500 0.7500



[4]
! HoSn2 | Alexandria via LeMat-Bulk | PBE | optimized geometry; values from VASP
! * formation energy: -341 meV per atom
&SYSTEM
  ibrav = 0, nat = 3, ntyp = 2
/
ATOMIC_SPECIES
Ho 164.93 Ho.upf
Sn 118.71 Sn.upf
CELL_PARAMETERS angstrom
2.9945 -3.0338 0.0000
2.9945 3.0338 0.0000
-2.2589 0.0000 4.5609
ATOMIC_POSITIONS crystal
Ho 0.0000 0.0000 0.0000
Sn 0.3609 0.3609 0.6842
Sn 0.6391 0.6391 0.3158



[5]
! B5C7 | Alexandria via LeMat-Bulk | PBE | optimized geometry; values from VASP
! * formation energy: 331 meV per atom
! * energy above the lowest structure with this stoichiometry: 74 meV per atom
&SYSTEM
  ibrav = 0, nat = 12, ntyp = 2
/
ATOMIC_SPECIES
B 10.81 B.upf
C 12.01 C.upf
CELL_PARAMETERS angstrom
4.1974 -1.2953 0.0000
4.1974 1.2953 0.0000
-4.0421 0.0000 7.0850
ATOMIC_POSITIONS crystal
B 0.0000 0.0000 0.0000
B 0.2612 0.2612 0.0780
B 0.3263 0.3263 0.8774
B 0.5040 0.5040 0.7353
B 0.6723 0.6723 0.3351
C 0.0597 0.0597 0.2241
C 0.1092 0.1092 0.8585
C 0.2840 0.2840 0.6608
C 0.4859 0.4859 0.5017
C 0.6849 0.6849 0.5710
C 0.8659 0.8659 0.1972
C 0.8861 0.8861 0.3999



[6]
! YAlAs2Se | Alexandria via LeMat-Bulk | PBE | optimized geometry; values from VASP
! * uncorrected formation energy: 252 meV per atom
! * energy above the lowest structure with this stoichiometry: 527 meV per atom
&SYSTEM
  ibrav = 0, nat = 5, ntyp = 4
/
ATOMIC_SPECIES
Y 88.91 Y.upf
Al 26.98 Al.upf
As 74.92 As.upf
Se 78.96 Se.upf
CELL_PARAMETERS angstrom
5.4612 0.0000 0.0000
0.0000 5.4612 0.0000
0.0000 0.0000 5.4298
ATOMIC_POSITIONS crystal
Y 0.0000 0.0000 0.0000
Al 0.5000 0.5000 0.5000
As 0.0000 0.5000 0.0000
As 0.5000 0.0000 0.0000
Se 0.0000 0.0000 0.5000



[7]
! RbPu2Cu2S6 | Alexandria via LeMat-Bulk | PBE | optimized geometry; values from VASP
! * uncorrected formation energy: -981 meV per atom
&SYSTEM
  ibrav = 0, nat = 11, ntyp = 4
/
ATOMIC_SPECIES
Rb 85.47 Rb.upf
Pu 244.00 Pu.upf
Cu 63.55 Cu.upf
S 32.06 S.upf
CELL_PARAMETERS angstrom
7.1244 0.0000 0.0000
3.5511 6.4299 0.0000
3.4568 2.1798 6.2782
ATOMIC_POSITIONS crystal
Rb 0.0000 0.0000 0.0000
Pu 0.3279 0.3289 0.0128
Pu 0.6721 0.6711 0.9872
Cu 0.4317 0.6990 0.5686
Cu 0.5683 0.3010 0.4314
S 0.0910 0.6718 0.7596
S 0.3272 0.5218 0.2415
S 0.4783 0.0856 0.7616
S 0.5217 0.9144 0.2384
S 0.6728 0.4782 0.7585
S 0.9090 0.3282 0.2404



[8]
! NbNi3Pt7 | Alexandria via LeMat-Bulk | PBE | optimized geometry; values from VASP
! * formation energy: 49 meV per atom
&SYSTEM
  ibrav = 0, nat = 11, ntyp = 3
/
ATOMIC_SPECIES
Nb 92.91 Nb.upf
Ni 58.69 Ni.upf
Pt 195.08 Pt.upf
CELL_PARAMETERS angstrom
4.2331 -4.5577 0.0000
4.2331 4.5577 0.0000
-2.1494 0.0000 4.5612
ATOMIC_POSITIONS crystal
Nb 0.0000 0.0000 0.0000
Ni 0.2705 0.7295 0.5000
Ni 0.5000 0.5000 0.0000
Ni 0.7295 0.2705 0.5000
Pt 0.0000 0.0000 0.5000
Pt 0.0866 0.5659 0.8166
Pt 0.3212 0.3212 0.4500
Pt 0.4341 0.9134 0.1834
Pt 0.5659 0.0866 0.8166
Pt 0.6788 0.6788 0.5500
Pt 0.9134 0.4341 0.1834



[9]
! SrGa12Pt6 | Alexandria via LeMat-Bulk | PBE | optimized geometry; values from VASP
! * formation energy: -591 meV per atom
&SYSTEM
  ibrav = 0, nat = 19, ntyp = 3
/
ATOMIC_SPECIES
Sr 87.62 Sr.upf
Ga 69.72 Ga.upf
Pt 195.08 Pt.upf
CELL_PARAMETERS angstrom
5.7402 3.3141 2.9679
-5.7402 3.3141 2.9679
0.0000 -6.6283 2.9679
ATOMIC_POSITIONS crystal
Sr 0.0000 0.0000 0.0000
Ga 0.1116 0.5000 0.8884
Ga 0.1116 0.8884 0.5000
Ga 0.1460 0.4019 0.4019
Ga 0.4019 0.1460 0.4019
Ga 0.4019 0.4019 0.1460
Ga 0.5000 0.1116 0.8884
Ga 0.5000 0.8884 0.1116
Ga 0.5981 0.5981 0.8540
Ga 0.5981 0.8540 0.5981
Ga 0.8540 0.5981 0.5981
Ga 0.8884 0.1116 0.5000
Ga 0.8884 0.5000 0.1116
Pt 0.2824 0.2824 0.7134
Pt 0.2824 0.7134 0.2824
Pt 0.2866 0.7176 0.7176
Pt 0.7134 0.2824 0.2824
Pt 0.7176 0.2866 0.7176
Pt 0.7176 0.7176 0.2866



[10]
! BaRe3Sb | Alexandria via LeMat-Bulk | PBE | optimized geometry; values from VASP
! * uncorrected formation energy: 2044 meV per atom
! * energy above the lowest structure with this stoichiometry: 0 meV per atom
&SYSTEM
  ibrav = 0, nat = 5, ntyp = 3
/
ATOMIC_SPECIES
Ba 137.33 Ba.upf
Re 186.21 Re.upf
Sb 121.76 Sb.upf
CELL_PARAMETERS angstrom
5.0306 0.0000 0.0000
0.0000 5.0306 0.0000
0.0000 0.0000 5.0306
ATOMIC_POSITIONS crystal
Ba 0.0000 0.0000 0.0000
Re 0.0000 0.5000 0.5000
Re 0.5000 0.0000 0.5000
Re 0.5000 0.5000 0.0000
Sb 0.5000 0.5000 0.5000



[11]
! FeNi2Rh | Alexandria via LeMat-Bulk | PBE | optimized geometry; values from VASP
! * formation energy: -51 meV per atom
&SYSTEM
  ibrav = 0, nat = 4, ntyp = 3
/
ATOMIC_SPECIES
Fe 55.84 Fe.upf
Ni 58.69 Ni.upf
Rh 102.91 Rh.upf
CELL_PARAMETERS angstrom
-1.8148 1.8148 3.6986
1.8148 -1.8148 3.6986
1.8148 1.8148 -3.6986
ATOMIC_POSITIONS crystal
Fe 0.0000 0.0000 0.0000
Ni 0.2500 0.7500 0.5000
Ni 0.7500 0.2500 0.5000
Rh 0.5000 0.5000 0.0000



[12]
! La2HgW | Alexandria via LeMat-Bulk | PBE | optimized geometry; values from VASP
! * formation energy: 325 meV per atom
&SYSTEM
  ibrav = 0, nat = 4, ntyp = 3
/
ATOMIC_SPECIES
La 138.91 La.upf
Hg 200.59 Hg.upf
W 183.84 W.upf
CELL_PARAMETERS angstrom
3.5534 0.0000 0.0000
0.0000 5.3051 0.0000
-0.0062 0.0000 5.6149
ATOMIC_POSITIONS crystal
La 0.0000 0.0000 0.0000
La 0.0043 0.5000 0.5567
Hg 0.5026 0.0000 0.4721
W 0.5019 0.5000 0.0940



[13]
! CdW4 | Alexandria via LeMat-Bulk | PBE | optimized geometry; values from VASP
! * formation energy: 3258 meV per atom
! * energy above the lowest structure with this stoichiometry: 2712 meV per atom
&SYSTEM
  ibrav = 0, nat = 5, ntyp = 2
/
ATOMIC_SPECIES
Cd 112.41 Cd.upf
W 183.84 W.upf
CELL_PARAMETERS angstrom
4.7438 0.0000 0.0000
0.0000 4.7438 0.0000
0.0000 0.0000 4.7438
ATOMIC_POSITIONS crystal
Cd 0.0000 0.0000 0.0000
W 0.0000 0.0000 0.5000
W 0.0000 0.5000 0.0000
W 0.5000 0.0000 0.0000
W 0.5000 0.5000 0.5000



[14]
! ZnGaAu2 | Alexandria via LeMat-Bulk | PBE | optimized geometry; values from VASP
! * formation energy: -43 meV per atom
&SYSTEM
  ibrav = 0, nat = 8, ntyp = 3
/
ATOMIC_SPECIES
Zn 65.41 Zn.upf
Ga 69.72 Ga.upf
Au 196.97 Au.upf
CELL_PARAMETERS angstrom
-3.7082 3.7082 2.7299
3.7082 -3.7082 2.7299
3.7082 3.7082 -2.7299
ATOMIC_POSITIONS crystal
Zn 0.0000 0.0000 0.0000
Zn 0.7500 0.2500 0.5000
Ga 0.2500 0.7500 0.5000
Ga 0.5000 0.5000 0.0000
Au 0.1257 0.6250 0.0007
Au 0.3750 0.3757 0.5007
Au 0.6243 0.1250 0.9993
Au 0.8750 0.8743 0.4993



[15]
! MgBeFe2 | Alexandria via LeMat-Bulk | PBE | optimized geometry; values from VASP
! * formation energy: 186 meV per atom
! * energy above the lowest structure with this stoichiometry: 116 meV per atom
&SYSTEM
  ibrav = 0, nat = 4, ntyp = 3
/
ATOMIC_SPECIES
Mg 24.30 Mg.upf
Be 9.01 Be.upf
Fe 55.84 Fe.upf
CELL_PARAMETERS angstrom
0.0000 2.8716 2.8716
2.8716 0.0000 2.8716
2.8716 2.8716 0.0000
ATOMIC_POSITIONS crystal
Mg 0.0000 0.0000 0.0000
Be 0.7500 0.7500 0.7500
Fe 0.2500 0.2500 0.2500
Fe 0.5000 0.5000 0.5000



[16]
! SnGeS | Alexandria via LeMat-Bulk | PBE | optimized geometry; values from VASP
! * uncorrected formation energy: -109 meV per atom
! * energy above the lowest structure with this stoichiometry: 22 meV per atom
&SYSTEM
  ibrav = 0, nat = 6, ntyp = 3
/
ATOMIC_SPECIES
Sn 118.71 Sn.upf
Ge 72.64 Ge.upf
S 32.06 S.upf
CELL_PARAMETERS angstrom
4.1716 0.0000 0.0000
0.0000 3.8731 0.0000
-0.3159 0.0000 8.7921
ATOMIC_POSITIONS crystal
Sn 0.0000 0.0000 0.0000
Sn 0.4707 0.5000 0.3378
Ge 0.9112 0.0000 0.6542
Ge 0.9726 0.0000 0.3442
S 0.4360 0.5000 0.0272
S 0.5485 0.5000 0.6508



[17]
! Zr2TaRu | Alexandria via LeMat-Bulk | PBE | optimized geometry; values from VASP
! * formation energy: -98 meV per atom
! * energy above the lowest structure with this stoichiometry: 149 meV per atom
&SYSTEM
  ibrav = 0, nat = 4, ntyp = 3
/
ATOMIC_SPECIES
Zr 91.22 Zr.upf
Ta 180.95 Ta.upf
Ru 101.07 Ru.upf
CELL_PARAMETERS angstrom
0.0000 3.3492 3.3492
3.3492 0.0000 3.3492
3.3492 3.3492 0.0000
ATOMIC_POSITIONS crystal
Zr 0.2500 0.2500 0.2500
Zr 0.7500 0.7500 0.7500
Ta 0.0000 0.0000 0.0000
Ru 0.5000 0.5000 0.5000



[18]
! Pr2NdGa6 | Alexandria via LeMat-Bulk | PBE | optimized geometry; values from VASP
! * formation energy: -443 meV per atom
! * energy above the lowest structure with this stoichiometry: 245 meV per atom
&SYSTEM
  ibrav = 0, nat = 9, ntyp = 3
/
ATOMIC_SPECIES
Pr 140.91 Pr.upf
Nd 144.24 Nd.upf
Ga 69.72 Ga.upf
CELL_PARAMETERS angstrom
-2.2321 3.6300 6.8040
2.2321 -3.6300 6.8040
2.2321 3.6300 -6.8040
ATOMIC_POSITIONS crystal
Pr 0.1324 0.1324 0.0000
Pr 0.8676 0.8676 0.0000
Nd 0.5000 0.0000 0.5000
Ga 0.1379 0.3250 0.8128
Ga 0.1841 0.5000 0.6841
Ga 0.4878 0.6750 0.8128
Ga 0.5122 0.3250 0.1872
Ga 0.8159 0.5000 0.3159
Ga 0.8621 0.6750 0.1872



[19]
! TiMnNb3 | Alexandria via LeMat-Bulk | PBE | optimized geometry; values from VASP
! * formation energy: 705 meV per atom
! * energy above the lowest structure with this stoichiometry: 0 meV per atom
&SYSTEM
  ibrav = 0, nat = 5, ntyp = 3
/
ATOMIC_SPECIES
Ti 47.87 Ti.upf
Mn 54.94 Mn.upf
Nb 92.91 Nb.upf
CELL_PARAMETERS angstrom
4.6034 0.0000 0.0000
0.0000 4.6034 0.0000
0.0000 0.0000 4.6034
ATOMIC_POSITIONS crystal
Ti 0.0000 0.0000 0.0000
Mn 0.5000 0.5000 0.5000
Nb 0.0000 0.5000 0.5000
Nb 0.5000 0.0000 0.5000
Nb 0.5000 0.5000 0.0000



[20]
! Na2SmTiS4 | Alexandria via LeMat-Bulk | PBE | optimized geometry; values from VASP
! * uncorrected formation energy: -1515 meV per atom
&SYSTEM
  ibrav = 0, nat = 8, ntyp = 4
/
ATOMIC_SPECIES
Na 22.99 Na.upf
Sm 150.36 Sm.upf
Ti 47.87 Ti.upf
S 32.06 S.upf
CELL_PARAMETERS angstrom
6.6701 0.0000 0.0000
0.0000 3.8369 0.0000
-2.2199 0.0000 6.6982
ATOMIC_POSITIONS crystal
Na 0.0000 0.0000 0.0000
Na 0.5000 0.5000 0.0000
Sm 0.0000 0.5000 0.5000
Ti 0.5000 0.0000 0.5000
S 0.2674 0.0000 0.7267
S 0.2838 0.5000 0.2859
S 0.7162 0.5000 0.7141
S 0.7326 0.0000 0.2733



[21]
! TlSbTe2 | Alexandria via LeMat-Bulk | PBE | optimized geometry; values from VASP
! * uncorrected formation energy: -127 meV per atom
! * energy above the lowest structure with this stoichiometry: 103 meV per atom
&SYSTEM
  ibrav = 0, nat = 4, ntyp = 3
/
ATOMIC_SPECIES
Tl 204.38 Tl.upf
Sb 121.76 Sb.upf
Te 127.60 Te.upf
CELL_PARAMETERS angstrom
3.2742 0.0000 0.0000
0.0000 4.4272 0.0000
-0.0111 0.0000 9.0119
ATOMIC_POSITIONS crystal
Tl 0.0000 0.0000 0.0000
Sb 0.5000 0.0000 0.5000
Te 0.4981 0.5000 0.2566
Te 0.5019 0.5000 0.7434



[22]
! Dy2U2Ni15 | Alexandria via LeMat-Bulk | PBE | optimized geometry; values from VASP
! * formation energy: -262 meV per atom
&SYSTEM
  ibrav = 0, nat = 19, ntyp = 3
/
ATOMIC_SPECIES
Dy 162.50 Dy.upf
U 238.03 U.upf
Ni 58.69 Ni.upf
CELL_PARAMETERS angstrom
4.2126 2.4321 4.2368
-4.2126 2.4321 4.2368
0.0000 -4.8642 4.2368
ATOMIC_POSITIONS crystal
Dy 0.1410 0.1410 0.1410
Dy 0.8590 0.8590 0.8590
U 0.4025 0.4025 0.4025
U 0.5975 0.5975 0.5975
Ni 0.0000 0.5000 0.5000
Ni 0.1572 0.1572 0.6614
Ni 0.1572 0.6614 0.1572
Ni 0.1849 0.5000 0.8151
Ni 0.1849 0.8151 0.5000
Ni 0.3386 0.8428 0.8428
Ni 0.5000 0.0000 0.5000
Ni 0.5000 0.1849 0.8151
Ni 0.5000 0.5000 0.0000
Ni 0.5000 0.8151 0.1849
Ni 0.6614 0.1572 0.1572
Ni 0.8151 0.1849 0.5000
Ni 0.8151 0.5000 0.1849
Ni 0.8428 0.3386 0.8428
Ni 0.8428 0.8428 0.3386



[23]
! Ce2Th2Pt5 | Alexandria via LeMat-Bulk | PBE | optimized geometry; values from VASP
! * formation energy: -1042 meV per atom
&SYSTEM
  ibrav = 0, nat = 9, ntyp = 3
/
ATOMIC_SPECIES
Ce 140.12 Ce.upf
Th 232.04 Th.upf
Pt 195.08 Pt.upf
CELL_PARAMETERS angstrom
4.3521 -3.5080 0.0000
4.3521 3.5080 0.0000
-3.6147 0.0000 7.2219
ATOMIC_POSITIONS crystal
Ce 0.2283 0.2283 0.1123
Ce 0.7717 0.7717 0.8877
Th 0.2360 0.2360 0.6150
Th 0.7640 0.7640 0.3850
Pt 0.2006 0.7980 0.2558
Pt 0.2020 0.7994 0.7442
Pt 0.5000 0.5000 0.0000
Pt 0.7980 0.2006 0.2558
Pt 0.7994 0.2020 0.7442



[24]
! Mo3W4 | Alexandria via LeMat-Bulk | PBE | optimized geometry; values from VASP
! * formation energy: -11 meV per atom
! * energy above the lowest structure with this stoichiometry: 1 meV per atom
&SYSTEM
  ibrav = 0, nat = 7, ntyp = 2
/
ATOMIC_SPECIES
Mo 95.94 Mo.upf
W 183.84 W.upf
CELL_PARAMETERS angstrom
4.7672 -2.2415 0.0000
4.7672 2.2415 0.0000
-0.5342 0.0000 5.2471
ATOMIC_POSITIONS crystal
Mo 0.0000 0.0000 0.0000
Mo 0.2855 0.2855 0.1432
Mo 0.7145 0.7145 0.8568
W 0.1431 0.1431 0.5717
W 0.4291 0.4291 0.7146
W 0.5709 0.5709 0.2854
W 0.8569 0.8569 0.4283



[25]
! TbHoZr2 | Alexandria via LeMat-Bulk | PBE | optimized geometry; values from VASP
! * formation energy: 221 meV per atom
! * energy above the lowest structure with this stoichiometry: 137 meV per atom
&SYSTEM
  ibrav = 0, nat = 4, ntyp = 3
/
ATOMIC_SPECIES
Tb 158.93 Tb.upf
Ho 164.93 Ho.upf
Zr 91.22 Zr.upf
CELL_PARAMETERS angstrom
3.9358 0.0000 0.0000
0.0000 3.9358 0.0000
0.0000 0.0000 6.8514
ATOMIC_POSITIONS crystal
Tb 0.0000 0.0000 0.0000
Ho 0.0000 0.0000 0.5000
Zr 0.5000 0.5000 0.2703
Zr 0.5000 0.5000 0.7297